## CdAsOs (GGA-PBE)

Data for crystalline CdAsOs at its relaxed geometry.

Output
Space-group type ... P-6m2 (187)
Excess energy over the best structure of this formula in the dataset ... 19.79 kJ per mole of atoms
Formation energy ... 0.412 eV per atom
Crystal system ... hexagonal
V ... 18.53 Å³ per atom
M_tot ... 0.00 Bohr magnetons per cell

Lattice parameters (Å, degrees): 4.1732 4.1732 3.6854 90.00 90.00 120.00
Positions (direct):
Cd  0.0000  0.0000  0.0000
As  0.3333  0.6667  0.5000
Os  0.6667  0.3333  0.5000



## Rb3PmNp3S8 (GGA-PBE)

Data for crystalline Rb3PmNp3S8 at its relaxed geometry.

Output
Space-group type ... R-3m (166)
Crystal system ... trigonal
E_form (uncorrected) ... -1.4976 eV per atom
V ... 30.03 Å³ per atom
M_tot ... 11.00 Bohr magnetons per cell

Lattice parameters (Å, degrees): 9.0878 9.0878 9.0878 53.54 53.54 53.54
Positions (direct):
Rb  0.0000  0.5000  0.5000
Rb  0.5000  0.0000  0.5000
Rb  0.5000  0.5000  0.0000
Pm  0.5000  0.5000  0.5000
Np  0.0000  0.0000  0.5000
Np  0.0000  0.5000  0.0000
Np  0.5000  0.0000  0.0000
S  0.2212  0.7334  0.7334
S  0.2290  0.2290  0.2290
S  0.2666  0.2666  0.7788
S  0.2666  0.7788  0.2666
S  0.7334  0.2212  0.7334
S  0.7334  0.7334  0.2212
S  0.7710  0.7710  0.7710
S  0.7788  0.2666  0.2666



## Cs3Pu2Br9 (GGA-PBE)

Data for crystalline Cs3Pu2Br9 at its relaxed geometry.

Output
Space-group type ... R-3c (167)
Crystal system ... trigonal
E_form (uncorrected) ... -1.6784 eV per atom
V ... 40.88 Å³ per atom
M_tot ... 20.00 Bohr magnetons per cell

Lattice parameters (Å, degrees): 10.5234 10.5234 10.5234 83.50 83.50 83.50
Positions (direct):
Cs  0.0911  0.7500  0.4089
Cs  0.2500  0.5911  0.9089
Cs  0.4089  0.0911  0.7500
Cs  0.5911  0.9089  0.2500
Cs  0.7500  0.4089  0.0911
Cs  0.9089  0.2500  0.5911
Pu  0.1527  0.1527  0.1527
Pu  0.3473  0.3473  0.3473
Pu  0.6527  0.6527  0.6527
Pu  0.8473  0.8473  0.8473
Br  0.0800  0.2680  0.9151
Br  0.0849  0.9200  0.7320
Br  0.0934  0.4066  0.2500
Br  0.2320  0.4200  0.5849
Br  0.2500  0.0934  0.4066
Br  0.2680  0.9151  0.0800
Br  0.4066  0.2500  0.0934
Br  0.4151  0.7680  0.5800
Br  0.4200  0.5849  0.2320
Br  0.5800  0.4151  0.7680
Br  0.5849  0.2320  0.4200
Br  0.5934  0.7500  0.9066
Br  0.7320  0.0849  0.9200
Br  0.7500  0.9066  0.5934
Br  0.7680  0.5800  0.4151
Br  0.9066  0.5934  0.7500
Br  0.9151  0.0800  0.2680
Br  0.9200  0.7320  0.0849



## Sm2CuP (GGA-PBE)

Data for crystalline Sm2CuP at its relaxed geometry.

Output
Space-group type ... R-3m (166)
Formation energy ... -0.268 eV per atom
Crystal system ... trigonal
V ... 30.36 Å³ per atom
M_tot ... 0.00 Bohr magnetons per cell

Lattice parameters (Å, degrees): 8.9738 8.9738 8.9738 25.90 25.90 25.90
Positions (direct):
Sm  0.1080  0.1080  0.1080
Sm  0.8920  0.8920  0.8920
Cu  0.0000  0.0000  0.0000
P  0.5000  0.5000  0.5000



Repeat the third record exactly.
## Cs3Pu2Br9 (GGA-PBE)

Data for crystalline Cs3Pu2Br9 at its relaxed geometry.

Output
Space-group type ... R-3c (167)
Crystal system ... trigonal
E_form (uncorrected) ... -1.6784 eV per atom
V ... 40.88 Å³ per atom
M_tot ... 20.00 Bohr magnetons per cell

Lattice parameters (Å, degrees): 10.5234 10.5234 10.5234 83.50 83.50 83.50
Positions (direct):
Cs  0.0911  0.7500  0.4089
Cs  0.2500  0.5911  0.9089
Cs  0.4089  0.0911  0.7500
Cs  0.5911  0.9089  0.2500
Cs  0.7500  0.4089  0.0911
Cs  0.9089  0.2500  0.5911
Pu  0.1527  0.1527  0.1527
Pu  0.3473  0.3473  0.3473
Pu  0.6527  0.6527  0.6527
Pu  0.8473  0.8473  0.8473
Br  0.0800  0.2680  0.9151
Br  0.0849  0.9200  0.7320
Br  0.0934  0.4066  0.2500
Br  0.2320  0.4200  0.5849
Br  0.2500  0.0934  0.4066
Br  0.2680  0.9151  0.0800
Br  0.4066  0.2500  0.0934
Br  0.4151  0.7680  0.5800
Br  0.4200  0.5849  0.2320
Br  0.5800  0.4151  0.7680
Br  0.5849  0.2320  0.4200
Br  0.5934  0.7500  0.9066
Br  0.7320  0.0849  0.9200
Br  0.7500  0.9066  0.5934
Br  0.7680  0.5800  0.4151
Br  0.9066  0.5934  0.7500
Br  0.9151  0.0800  0.2680
Br  0.9200  0.7320  0.0849